AlVGaRu after structural relaxation. Source: Alexandria via LeMat-Bulk, functional PBE.

Summary:
- total energy (eV/atom) = -6.580
- total moment (μB/cell) = 7.81
- Fermi-level density of states (states/eV per atom) = 0.9655
- V (Å³/cell) = 226.2

The structure in CIF format:
```
data_AlVGaRu
_chemical_formula_sum 'Al4 V4 Ga4 Ru4'
_cell_length_a 6.093
_cell_length_b 6.093
_cell_length_c 6.093
_cell_angle_alpha 90.00
_cell_angle_beta 90.00
_cell_angle_gamma 90.00
_space_group_name_H-M_alt 'F -4 3 m'
_space_group_IT_number 216
_space_group_name_Hall 'F -4 2 3'
loop_
_atom_site_label
_atom_site_type_symbol
_atom_site_fract_x
_atom_site_fract_y
_atom_site_fract_z
Al1 Al 0.000 0.000 0.000
V1 V 0.250 0.250 0.750
Ga1 Ga 0.000 0.000 0.500
Ru1 Ru 0.250 0.250 0.250
```

***

YAlGa2Ru2 after structural relaxation. Source: Alexandria via LeMat-Bulk, functional PBE.

Summary:
- total energy (eV/atom) = -6.028
- total moment (μB/cell) = 0.00
- Fermi-level density of states (states/eV per atom) = 0.4468
- V (Å³/cell) = 112.7

The structure in CIF format:
```
data_YAlGa2Ru2
_chemical_formula_sum 'Y1 Al1 Ga2 Ru2'
_cell_length_a 4.489
_cell_length_b 4.489
_cell_length_c 5.592
_cell_angle_alpha 90.00
_cell_angle_beta 90.00
_cell_angle_gamma 90.00
_space_group_name_H-M_alt 'P 4/m m m'
_space_group_IT_number 123
_space_group_name_Hall '-P 4 2'
loop_
_atom_site_label
_atom_site_type_symbol
_atom_site_fract_x
_atom_site_fract_y
_atom_site_fract_z
Y1 Y 0.000 0.000 0.000
Al1 Al 0.000 0.000 0.500
Ga1 Ga 0.500 0.500 0.238
Ru1 Ru 0.000 0.500 0.500
```

***

Y2Al2GaRu5 after structural relaxation. Source: Alexandria via LeMat-Bulk, functional PBE.

Summary:
- total energy (eV/atom) = -7.351
- total moment (μB/cell) = 2.90
- Fermi-level density of states (states/eV per atom) = 0.9619
- V (Å³/cell) = 333.4

The structure in CIF format:
```
data_Y2Al2GaRu5
_chemical_formula_sum 'Y4 Al4 Ga2 Ru10'
_cell_length_a 9.997
_cell_length_b 9.997
_cell_length_c 3.336
_cell_angle_alpha 90.00
_cell_angle_beta 90.00
_cell_angle_gamma 90.00
_space_group_name_H-M_alt 'P 4/m b m'
_space_group_IT_number 127
_space_group_name_Hall '-P 4 2ab'
loop_
_atom_site_label
_atom_site_type_symbol
_atom_site_fract_x
_atom_site_fract_y
_atom_site_fract_z
Y1 Y 0.171 0.329 0.000
Al1 Al 0.129 0.629 0.000
Ga1 Ga 0.000 0.000 0.000
Ru1 Ru 0.000 0.500 0.500
Ru2 Ru 0.062 0.805 0.500
```

***

AlZnGa2Ru after structural relaxation. Source: Alexandria via LeMat-Bulk, functional PBE.

Summary:
- total energy (eV/atom) = -3.007
- total moment (μB/cell) = 2.32
- Fermi-level density of states (states/eV per atom) = 1.4821
- V (Å³/cell) = 106.6

The structure in CIF format:
```
data_AlZnGa2Ru
_chemical_formula_sum 'Al1 Zn1 Ga2 Ru1'
_cell_length_a 4.786
_cell_length_b 4.786
_cell_length_c 4.654
_cell_angle_alpha 90.00
_cell_angle_beta 90.00
_cell_angle_gamma 90.00
_space_group_name_H-M_alt 'P 4/m m m'
_space_group_IT_number 123
_space_group_name_Hall '-P 4 2'
loop_
_atom_site_label
_atom_site_type_symbol
_atom_site_fract_x
_atom_site_fract_y
_atom_site_fract_z
Al1 Al 0.000 0.000 0.000
Zn1 Zn 0.000 0.000 0.500
Ga1 Ga 0.000 0.500 0.000
Ru1 Ru 0.500 0.500 0.500
```